1.
# TaCoBi PBE-GGA optimized geometry
data_TaCoBi
_space_group_name_H-M_alt 'P n m a'
_space_group_IT_number 62
_cell_length_a 6.560
_cell_length_b 3.845
_cell_length_c 9.190
_cell_angle_alpha 90.00
_cell_angle_beta 90.00
_cell_angle_gamma 90.00
loop_
_space_group_symop_operation_xyz
'x,y,z'
'-x,-y,-z'
'-x+1/2,-y,z+1/2'
'x+1/2,y,-z+1/2'
'x+1/2,-y+1/2,-z+1/2'
'-x+1/2,y+1/2,z+1/2'
'-x,y+1/2,-z'
'x,-y+1/2,z'
loop_
_atom_site_label
_atom_site_fract_x
_atom_site_fract_y
_atom_site_fract_z
Ta1 0.004 0.250 0.134
Co1 0.217 0.250 0.912
Bi1 0.136 0.250 0.619
# - E_tot: -7.397 eV/atom



2.
# TaCoBi2 PBE-GGA optimized geometry
data_TaCoBi2
_space_group_name_H-M_alt 'F -4 3 m'
_space_group_IT_number 216
_space_group_name_Hall 'F -4 2 3'
_cell_length_a 7.006
_cell_length_b 7.006
_cell_length_c 7.006
_cell_angle_alpha 90.00
_cell_angle_beta 90.00
_cell_angle_gamma 90.00
loop_
_atom_site_label
_atom_site_fract_x
_atom_site_fract_y
_atom_site_fract_z
Ta1 0.000 0.000 0.000
Co1 0.250 0.250 0.250
Bi1 0.000 0.000 0.500
Bi2 0.250 0.250 0.750
# - E_tot: -5.821 eV/atom



3.
# Ta2CoBi PBE-GGA optimized geometry
data_Ta2CoBi
_space_group_name_H-M_alt 'F -4 3 m'
_space_group_IT_number 216
_space_group_name_Hall 'F -4 2 3'
_cell_length_a 6.603
_cell_length_b 6.603
_cell_length_c 6.603
_cell_angle_alpha 90.00
_cell_angle_beta 90.00
_cell_angle_gamma 90.00
loop_
_atom_site_label
_atom_site_fract_x
_atom_site_fract_y
_atom_site_fract_z
Ta1 0.000 0.000 0.000
Ta2 0.250 0.250 0.250
Co1 0.250 0.250 0.750
Bi1 0.000 0.000 0.500
# - E_tot: -8.103 eV/atom



4.
# TaCo2Bi PBE-GGA optimized geometry
data_TaCo2Bi
_space_group_name_H-M_alt 'F -4 3 m'
_space_group_IT_number 216
_space_group_name_Hall 'F -4 2 3'
_cell_length_a 6.325
_cell_length_b 6.325
_cell_length_c 6.325
_cell_angle_alpha 90.00
_cell_angle_beta 90.00
_cell_angle_gamma 90.00
loop_
_atom_site_label
_atom_site_fract_x
_atom_site_fract_y
_atom_site_fract_z
Ta1 0.000 0.000 0.000
Co1 0.000 0.000 0.500
Co2 0.250 0.250 0.250
Bi1 0.250 0.250 0.750
# - E_tot: -6.925 eV/atom



5.
# TaCoTcBi PBE-GGA optimized geometry
data_TaCoTcBi
_space_group_name_H-M_alt 'F -4 3 m'
_space_group_IT_number 216
_space_group_name_Hall 'F -4 2 3'
_cell_length_a 6.487
_cell_length_b 6.487
_cell_length_c 6.487
_cell_angle_alpha 90.00
_cell_angle_beta 90.00
_cell_angle_gamma 90.00
loop_
_atom_site_label
_atom_site_fract_x
_atom_site_fract_y
_atom_site_fract_z
Ta1 0.000 0.000 0.000
Co1 0.000 0.000 0.500
Tc1 0.250 0.250 0.750
Bi1 0.250 0.250 0.250
# - E_tot: -7.721 eV/atom
# - Excess energy over the best structure of this formula in the dataset: 0.319 eV/atom



6.
# TaCoTcBi PBE-GGA optimized geometry
data_TaCoTcBi
_space_group_name_H-M_alt 'F -4 3 m'
_space_group_IT_number 216
_space_group_name_Hall 'F -4 2 3'
_cell_length_a 6.436
_cell_length_b 6.436
_cell_length_c 6.436
_cell_angle_alpha 90.00
_cell_angle_beta 90.00
_cell_angle_gamma 90.00
loop_
_atom_site_label
_atom_site_fract_x
_atom_site_fract_y
_atom_site_fract_z
Ta1 0.000 0.000 0.000
Co1 0.250 0.250 0.750
Tc1 0.250 0.250 0.250
Bi1 0.000 0.000 0.500
# - E_tot: -8.040 eV/atom
# - Excess energy over the best structure of this formula in the dataset: 0.000 eV/atom



7.
# TaCoBiW PBE-GGA optimized geometry
data_TaCoBiW
_space_group_name_H-M_alt 'F -4 3 m'
_space_group_IT_number 216
_space_group_name_Hall 'F -4 2 3'
_cell_length_a 6.528
_cell_length_b 6.528
_cell_length_c 6.528
_cell_angle_alpha 90.00
_cell_angle_beta 90.00
_cell_angle_gamma 90.00
loop_
_atom_site_label
_atom_site_fract_x
_atom_site_fract_y
_atom_site_fract_z
Ta1 0.000 0.000 0.000
Co1 0.250 0.250 0.750
Bi1 0.000 0.000 0.500
W1 0.250 0.250 0.250
# - E_tot: -8.363 eV/atom
# - Excess energy over the best structure of this formula in the dataset: 0.000 eV/atom



8.
# TaZnCoBi PBE-GGA optimized geometry
data_TaZnCoBi
_space_group_name_H-M_alt 'F -4 3 m'
_space_group_IT_number 216
_space_group_name_Hall 'F -4 2 3'
_cell_length_a 6.545
_cell_length_b 6.545
_cell_length_c 6.545
_cell_angle_alpha 90.00
_cell_angle_beta 90.00
_cell_angle_gamma 90.00
loop_
_atom_site_label
_atom_site_fract_x
_atom_site_fract_y
_atom_site_fract_z
Ta1 0.000 0.000 0.000
Zn1 0.250 0.250 0.250
Co1 0.250 0.250 0.750
Bi1 0.000 0.000 0.500
# - E_tot: -5.512 eV/atom
# - Excess energy over the best structure of this formula in the dataset: 0.000 eV/atom



9.
# TaZnCoBi PBE-GGA optimized geometry
data_TaZnCoBi
_space_group_name_H-M_alt 'F -4 3 m'
_space_group_IT_number 216
_space_group_name_Hall 'F -4 2 3'
_cell_length_a 6.543
_cell_length_b 6.543
_cell_length_c 6.543
_cell_angle_alpha 90.00
_cell_angle_beta 90.00
_cell_angle_gamma 90.00
loop_
_atom_site_label
_atom_site_fract_x
_atom_site_fract_y
_atom_site_fract_z
Ta1 0.000 0.000 0.000
Zn1 0.250 0.250 0.750
Co1 0.000 0.000 0.500
Bi1 0.250 0.250 0.250
# - E_tot: -5.431 eV/atom
# - Excess energy over the best structure of this formula in the dataset: 0.082 eV/atom



10.
# Tb12Co6Bi PBE-GGA optimized geometry
data_Tb12Co6Bi
_space_group_name_H-M_alt 'I m -3'
_space_group_IT_number 204
_space_group_name_Hall '-I 2 2 3'
_cell_length_a 9.736
_cell_length_b 9.736
_cell_length_c 9.736
_cell_angle_alpha 90.00
_cell_angle_beta 90.00
_cell_angle_gamma 90.00
loop_
_atom_site_label
_atom_site_fract_x
_atom_site_fract_y
_atom_site_fract_z
Tb1 0.000 0.196 0.306
Co1 0.000 0.388 0.500
Bi1 0.000 0.000 0.000
# - E_tot: -5.660 eV/atom



11.
# CoTcBi PBE-GGA optimized geometry
data_CoTcBi
_space_group_name_H-M_alt 'F -4 3 m'
_space_group_IT_number 216
_space_group_name_Hall 'F -4 2 3'
_cell_length_a 6.044
_cell_length_b 6.044
_cell_length_c 6.044
_cell_angle_alpha 90.00
_cell_angle_beta 90.00
_cell_angle_gamma 90.00
loop_
_atom_site_label
_atom_site_fract_x
_atom_site_fract_y
_atom_site_fract_z
Co1 0.000 0.000 0.000
Tc1 0.250 0.250 0.250
Bi1 0.250 0.250 0.750
# - E_tot: -6.637 eV/atom
# - Excess energy over the best structure of this formula in the dataset: 0.000 eV/atom



12.
# YCoTcBi PBE-GGA optimized geometry
data_YCoTcBi
_space_group_name_H-M_alt 'F -4 3 m'
_space_group_IT_number 216
_space_group_name_Hall 'F -4 2 3'
_cell_length_a 6.660
_cell_length_b 6.660
_cell_length_c 6.660
_cell_angle_alpha 90.00
_cell_angle_beta 90.00
_cell_angle_gamma 90.00
loop_
_atom_site_label
_atom_site_fract_x
_atom_site_fract_y
_atom_site_fract_z
Y1 0.000 0.000 0.000
Co1 0.250 0.250 0.750
Tc1 0.250 0.250 0.250
Bi1 0.000 0.000 0.500
# - E_tot: -6.853 eV/atom
# - Excess energy over the best structure of this formula in the dataset: 0.000 eV/atom



> The highest E_tot belongs to which entry?

number 9



> Look up the E_tot of the fourth one.

-6.925 eV/atom



> E_tot of number 3 (Ta2CoBi)?

-8.103 eV/atom